A relaxed KTi6O12 crystal, computed with GGA-PBEsol.

- Fermi-level density of states: 7.779 states/eV/f.u.
- ρ: 3.77 g/cm3
- Total DFT energy (no corrections): -8.988 eV per atom
- ΔE_f (raw): -2984.8 meV per atom

abc: 8.4368 8.4368 8.4368
angles: 105.96 105.96 116.75
Site moments in Bohr magnetons follow the coordinates.
Atoms (fractional coordinates):
K (0.2787, 0.2787, 0.0000)  0.00
K (0.7213, 0.7213, 0.0000)  0.00
Ti (0.3306, 0.1509, 0.4815)  0.14
Ti (0.1836, 0.6671, 0.1830)  0.14
Ti (0.8164, 0.3329, 0.8170)  0.14
Ti (0.4840, 0.0006, 0.8170)  0.14
Ti (0.3329, 0.5160, 0.5165)  0.14
Ti (0.6694, 0.8491, 0.5185)  0.14
Ti (0.6671, 0.4840, 0.4835)  0.14
Ti (0.9994, 0.8164, 0.4835)  0.14
Ti (0.8491, 0.3305, 0.1796)  0.14
Ti (0.5160, 0.9994, 0.1830)  0.14
Ti (0.1509, 0.6694, 0.8204)  0.14
Ti (0.0006, 0.1836, 0.5165)  0.14
O (0.3711, 0.3228, 0.3601)  0.00
O (0.3359, 0.9605, 0.2964)  -0.01
O (0.6271, 0.3338, 0.6269)  -0.01
O (0.2931, 0.9998, 0.6269)  -0.01
O (0.3729, 0.6662, 0.3731)  -0.01
O (0.3228, 0.9627, 0.9517)  0.00
O (0.6551, 0.2963, 0.9514)  0.00
O (0.9890, 0.6289, 0.9517)  0.00
O (0.6641, 0.0395, 0.7036)  -0.01
O (0.3338, 0.7069, 0.7067)  -0.01
O (0.7037, 0.6551, 0.3589)  0.00
O (0.0373, 0.9890, 0.3601)  0.00
O (0.2963, 0.3449, 0.6411)  0.00
O (0.6289, 0.6772, 0.6399)  0.00
O (0.0002, 0.6271, 0.2933)  -0.01
O (0.6662, 0.2931, 0.2933)  -0.01
O (0.3449, 0.7037, 0.0486)  0.00
O (0.0110, 0.3711, 0.0483)  0.00
O (0.6772, 0.0373, 0.0483)  0.00
O (0.9605, 0.6641, 0.6245)  -0.01
O (0.0395, 0.3359, 0.3755)  -0.01
O (0.7069, 0.0002, 0.3731)  -0.01
O (0.9998, 0.3729, 0.7067)  -0.01
O (0.9627, 0.0110, 0.6399)  0.00